Computed, not measured: crystalline Li2BeAs at its relaxed geometry at the GGA-PBE level of DFT.

Properties
E_form = -90 kJ/mol of formula units

Unit cell a=3.607 b=3.607 c=3.968 alpha=90.00 beta=90.00 gamma=90.00
Space group P4/mmm (No. 123)
One atom of each set of equivalent atoms:
1 Li 0.000 0.500 0.000 x2
2 Be 0.000 0.000 0.500 x1
3 As 0.500 0.500 0.500 x1